Entry 1:
BeTcNiB after structural relaxation, computed with PBE-GGA.

Properties
The total magnetization comes out at 0.18 μB per atom. The value obtained for the relative energy among the computed polymorphs is 340 meV per atom.

abc: 5.457 5.457 5.457
angles: 90.00 90.00 90.00
Atoms (fractional coordinates):
Be1 0.000 0.000 0.000
Be2 0.000 0.500 0.500
Be3 0.500 0.000 0.500
Be4 0.500 0.500 0.000
Tc1 0.000 0.000 0.500
Tc2 0.000 0.500 0.000
Tc3 0.500 0.000 0.000
Tc4 0.500 0.500 0.500
Ni1 0.250 0.250 0.750
Ni2 0.250 0.750 0.250
Ni3 0.750 0.250 0.250
Ni4 0.750 0.750 0.750
B1 0.250 0.250 0.250
B2 0.250 0.750 0.750
B3 0.750 0.250 0.750
B4 0.750 0.750 0.250

=====

Entry 2:
BeTcNiB after structural relaxation, computed with PBE-GGA.

Properties
The total magnetization comes out at 0.21 μB per atom. The value obtained for the relative energy among the computed polymorphs is 600 meV per atom.

abc: 5.465 5.465 5.465
angles: 90.00 90.00 90.00
Atoms (fractional coordinates):
Be1 0.000 0.000 0.000
Be2 0.000 0.500 0.500
Be3 0.500 0.000 0.500
Be4 0.500 0.500 0.000
Tc1 0.250 0.250 0.750
Tc2 0.250 0.750 0.250
Tc3 0.750 0.250 0.250
Tc4 0.750 0.750 0.750
Ni1 0.000 0.000 0.500
Ni2 0.000 0.500 0.000
Ni3 0.500 0.000 0.000
Ni4 0.500 0.500 0.500
B1 0.250 0.250 0.250
B2 0.250 0.750 0.750
B3 0.750 0.250 0.750
B4 0.750 0.750 0.250

=====

Entry 3:
BeTcNiB after structural relaxation, computed with PBE-GGA.

Properties
The total magnetization comes out at 0.00 μB per atom. The value obtained for the relative energy among the computed polymorphs is 0 meV per atom.

abc: 5.333 5.333 5.333
angles: 90.00 90.00 90.00
Atoms (fractional coordinates):
Be1 0.000 0.000 0.000
Be2 0.000 0.500 0.500
Be3 0.500 0.000 0.500
Be4 0.500 0.500 0.000
Tc1 0.250 0.250 0.250
Tc2 0.250 0.750 0.750
Tc3 0.750 0.250 0.750
Tc4 0.750 0.750 0.250
Ni1 0.250 0.250 0.750
Ni2 0.250 0.750 0.250
Ni3 0.750 0.250 0.250
Ni4 0.750 0.750 0.750
B1 0.000 0.000 0.500
B2 0.000 0.500 0.000
B3 0.500 0.000 0.000
B4 0.500 0.500 0.500

=====

Entry 4:
BeTlNiB after structural relaxation, computed with PBE-GGA.

Properties
The total magnetization comes out at 0.00 μB per atom. The value obtained for the relative energy among the computed polymorphs is 51 meV per atom.

abc: 5.904 5.904 5.904
angles: 90.00 90.00 90.00
Atoms (fractional coordinates):
Be1 0.000 0.000 0.000
Be2 0.000 0.500 0.500
Be3 0.500 0.000 0.500
Be4 0.500 0.500 0.000
Tl1 0.250 0.250 0.750
Tl2 0.250 0.750 0.250
Tl3 0.750 0.250 0.250
Tl4 0.750 0.750 0.750
Ni1 0.000 0.000 0.500
Ni2 0.000 0.500 0.000
Ni3 0.500 0.000 0.000
Ni4 0.500 0.500 0.500
B1 0.250 0.250 0.250
B2 0.250 0.750 0.750
B3 0.750 0.250 0.750
B4 0.750 0.750 0.250

=====

Entry 5:
BeTlNiB after structural relaxation, computed with PBE-GGA.

Properties
The total magnetization comes out at 0.00 μB per atom. The value obtained for the relative energy among the computed polymorphs is 88 meV per atom.

abc: 5.942 5.942 5.942
angles: 90.00 90.00 90.00
Atoms (fractional coordinates):
Be1 0.000 0.000 0.000
Be2 0.000 0.500 0.500
Be3 0.500 0.000 0.500
Be4 0.500 0.500 0.000
Tl1 0.000 0.000 0.500
Tl2 0.000 0.500 0.000
Tl3 0.500 0.000 0.000
Tl4 0.500 0.500 0.500
Ni1 0.250 0.250 0.250
Ni2 0.250 0.750 0.750
Ni3 0.750 0.250 0.750
Ni4 0.750 0.750 0.250
B1 0.250 0.250 0.750
B2 0.250 0.750 0.250
B3 0.750 0.250 0.250
B4 0.750 0.750 0.750

=====

Entry 6:
BeTlNiB after structural relaxation, computed with PBE-GGA.

Properties
The total magnetization comes out at 0.00 μB per atom. The value obtained for the relative energy among the computed polymorphs is 0 meV per atom.

abc: 5.825 5.825 5.825
angles: 90.00 90.00 90.00
Atoms (fractional coordinates):
Be1 0.000 0.000 0.000
Be2 0.000 0.500 0.500
Be3 0.500 0.000 0.500
Be4 0.500 0.500 0.000
Tl1 0.250 0.250 0.750
Tl2 0.250 0.750 0.250
Tl3 0.750 0.250 0.250
Tl4 0.750 0.750 0.750
Ni1 0.250 0.250 0.250
Ni2 0.250 0.750 0.750
Ni3 0.750 0.250 0.750
Ni4 0.750 0.750 0.250
B1 0.000 0.000 0.500
B2 0.000 0.500 0.000
B3 0.500 0.000 0.000
B4 0.500 0.500 0.500

=====

Entry 7:
BeZnNiB after structural relaxation, computed with PBE-GGA.

Properties
The total magnetization comes out at 0.00 μB per atom. The value obtained for the relative energy among the computed polymorphs is 0 meV per atom.

abc: 5.288 5.288 5.288
angles: 90.00 90.00 90.00
Atoms (fractional coordinates):
Be1 0.000 0.000 0.000
Be2 0.000 0.500 0.500
Be3 0.500 0.000 0.500
Be4 0.500 0.500 0.000
Zn1 0.250 0.250 0.750
Zn2 0.250 0.750 0.250
Zn3 0.750 0.250 0.250
Zn4 0.750 0.750 0.750
Ni1 0.250 0.250 0.250
Ni2 0.250 0.750 0.750
Ni3 0.750 0.250 0.750
Ni4 0.750 0.750 0.250
B1 0.000 0.000 0.500
B2 0.000 0.500 0.000
B3 0.500 0.000 0.000
B4 0.500 0.500 0.500

=====

Entry 8:
BeZnNiB after structural relaxation, computed with PBE-GGA.

Properties
The total magnetization comes out at 0.00 μB per atom. The value obtained for the relative energy among the computed polymorphs is 109 meV per atom.

abc: 5.350 5.350 5.350
angles: 90.00 90.00 90.00
Atoms (fractional coordinates):
Be1 0.000 0.000 0.000
Be2 0.000 0.500 0.500
Be3 0.500 0.000 0.500
Be4 0.500 0.500 0.000
Zn1 0.250 0.250 0.750
Zn2 0.250 0.750 0.250
Zn3 0.750 0.250 0.250
Zn4 0.750 0.750 0.750
Ni1 0.000 0.000 0.500
Ni2 0.000 0.500 0.000
Ni3 0.500 0.000 0.000
Ni4 0.500 0.500 0.500
B1 0.250 0.250 0.250
B2 0.250 0.750 0.750
B3 0.750 0.250 0.750
B4 0.750 0.750 0.250

=====

| no. | volume (Å³/f.u.) |
| --- | --- |
| 1 | 40.6 |
| 2 | 40.8 |
| 3 | 37.9 |
| 4 | 51.4 |
| 5 | 52.4 |
| 6 | 49.4 |
| 7 | 37.0 |
| 8 | 38.3 |